This record from Alexandria via LeMat-Bulk describes Er2TiGe3Ir4 after structural relaxation. The functional is PBE-GGA. Values from VASP.

Values from the calculation:
VASP energy in Ry per atom: -0.547
Formation energy from the elements in eV per atom: -0.812
Crystal system: tetragonal

```
&SYSTEM
  ibrav = 0, nat = 10, ntyp = 4
/
ATOMIC_SPECIES
Ir 192.22 Ir.upf
Er 167.26 Er.upf
Ge 72.64 Ge.upf
Ti 47.87 Ti.upf
CELL_PARAMETERS angstrom
-2.4156 1.2774 -3.0379
2.9252 -0.9037 -2.7060
-4.0167 -9.9886 -1.0063
ATOMIC_POSITIONS angstrom
Ir 0.2548 0.1869 -2.8720
Ir -3.7915 -5.7863 -2.1662
Ir 0.0000 0.0000 0.0000
Ir 0.0296 -4.0154 -1.7120
Er -2.1610 -1.7316 -1.7577
Er -1.6009 -8.0702 -2.1205
Ge -2.0083 -4.9943 -0.5031
Ge -4.6990 -8.0432 -2.3936
Ge 0.9371 -1.7586 -1.4846
Ti -1.7535 -4.8074 -3.3751
```

This record from Alexandria via LeMat-Bulk describes Ba2PdPbO5 after structural relaxation. The functional is PBE-GGA. Values from VASP.

Values from the calculation:
Formation energy (no corrections) in eV/atom: -1.47
VASP energy in Ry per atom: -0.415
Crystal system: orthorhombic

```
&SYSTEM
  ibrav = 0, nat = 18, ntyp = 4
/
ATOMIC_SPECIES
O 16.00 O.upf
Pd 106.42 Pd.upf
Pb 207.20 Pb.upf
Ba 137.33 Ba.upf
CELL_PARAMETERS angstrom
3.6933 0.0000 0.0000
-1.8466 8.1040 0.0000
0.0000 0.0000 10.4648
ATOMIC_POSITIONS angstrom
O 1.8466 2.4659 5.3217
O 0.0000 4.8376 6.7350
O 0.0000 0.9755 0.2221
O 1.8466 0.0795 8.2871
O 1.8466 7.1285 5.4545
O 1.8466 3.3598 9.0382
O 1.8466 3.2663 1.5026
O 0.0000 8.0245 3.0547
O 0.0000 5.6381 0.0893
O 0.0000 4.7442 3.8058
Pd 1.8466 0.5938 10.2459
Pd 0.0000 7.5102 5.0135
Pb 1.8466 4.6187 5.2868
Pb 0.0000 3.4853 0.0544
Ba 1.8466 6.1408 8.4828
Ba 0.0000 1.9421 7.3271
Ba 1.8466 6.1619 2.0947
Ba 0.0000 1.9631 3.2504
```

This record from Alexandria via LeMat-Bulk describes Ta2AgAu after structural relaxation. The functional is PBE-GGA. Values from VASP.

Values from the calculation:
VASP energy in Ry per atom: -0.542
Formation energy from the elements in eV per atom: 0.080
Crystal system: orthorhombic
Energy above the most stable polymorph in this dataset in eV/f.u.: 0.24

```
&SYSTEM
  ibrav = 0, nat = 4, ntyp = 3
/
ATOMIC_SPECIES
Ag 107.87 Ag.upf
Ta 180.95 Ta.upf
Au 196.97 Au.upf
CELL_PARAMETERS angstrom
3.0831 0.0000 0.0000
0.0000 3.7930 0.0000
0.0000 0.0000 6.1230
ATOMIC_POSITIONS angstrom
Ag 0.0000 0.0000 3.0850
Ta 1.5416 1.8965 1.5294
Ta 0.0000 0.0000 6.1124
Au 1.5416 1.8965 4.5808
```

This record from Alexandria via LeMat-Bulk describes Sr2HgRu after structural relaxation. The functional is PBE-GGA. Values from VASP.

Values from the calculation:
VASP energy in Ry per atom: -0.214
Formation energy from the elements in eV per atom: 0.322
Crystal system: cubic

```
&SYSTEM
  ibrav = 0, nat = 4, ntyp = 3
/
ATOMIC_SPECIES
Hg 200.59 Hg.upf
Sr 87.62 Sr.upf
Ru 101.07 Ru.upf
CELL_PARAMETERS angstrom
5.2345 0.0000 0.0000
2.6172 4.5332 0.0000
2.6172 1.5111 4.2739
ATOMIC_POSITIONS angstrom
Hg 5.2345 3.0221 2.1370
Sr 2.6172 1.5111 1.0685
Sr 0.0000 0.0000 0.0000
Ru 7.8517 4.5332 3.2055
```

This record from Alexandria via LeMat-Bulk describes USbPd2 after structural relaxation. The functional is PBE-GGA. Values from VASP.

Values from the calculation:
Formation energy (no corrections) in eV/atom: -0.26
VASP energy in Ry per atom: -0.493
Crystal system: tetragonal

```
&SYSTEM
  ibrav = 0, nat = 4, ntyp = 3
/
ATOMIC_SPECIES
U 238.03 U.upf
Pd 106.42 Pd.upf
Sb 121.76 Sb.upf
CELL_PARAMETERS angstrom
-0.7605 -3.5816 -1.9018
3.3879 -1.8969 2.2176
-2.7994 -1.1529 3.2906
ATOMIC_POSITIONS angstrom
U -0.0860 -3.3157 1.8032
Pd -1.3997 -0.5764 1.6453
Pd 1.6940 -0.9485 1.1088
Sb -0.3803 -1.7908 -0.9509
```

This record from Alexandria via LeMat-Bulk describes BaScP2Pt4 after structural relaxation. The functional is PBE-GGA. Values from VASP.

Values from the calculation:
VASP energy in Ry per atom: -0.461
Formation energy from the elements in eV per atom: -0.873
Crystal system: tetragonal

```
&SYSTEM
  ibrav = 0, nat = 8, ntyp = 4
/
ATOMIC_SPECIES
P 30.97 P.upf
Sc 44.96 Sc.upf
Pt 195.08 Pt.upf
Ba 137.33 Ba.upf
CELL_PARAMETERS angstrom
-2.9578 2.5458 1.2806
-2.0684 -0.6481 -3.4888
-4.6834 -7.5428 4.1777
ATOMIC_POSITIONS angstrom
P -3.9606 -1.3823 0.1871
P -5.7490 -4.2627 1.7824
Sc 0.0000 0.0000 0.0000
Pt -5.2715 -4.8352 4.0234
Pt -1.9250 -1.7587 -0.9498
Pt -2.3697 -0.1617 1.4349
Pt -4.8268 -6.4322 1.6387
Ba -2.3417 -3.7714 2.0889
```

This record from Alexandria via LeMat-Bulk describes CsMg3Bi after structural relaxation. The functional is PBE-GGA. Values from VASP.

Values from the calculation:
VASP energy in Ry per atom: -0.118
Formation energy from the elements in eV per atom: 0.304
Crystal system: cubic
Energy above the most stable polymorph in this dataset in eV/f.u.: 0.00

```
&SYSTEM
  ibrav = 0, nat = 5, ntyp = 3
/
ATOMIC_SPECIES
Bi 208.98 Bi.upf
Mg 24.30 Mg.upf
Cs 132.91 Cs.upf
CELL_PARAMETERS angstrom
6.0333 0.0000 0.0000
0.0000 6.0333 0.0000
0.0000 0.0000 6.0333
ATOMIC_POSITIONS angstrom
Bi 0.0000 0.0000 0.0000
Mg 0.0000 0.0000 3.0166
Mg 0.0000 3.0166 0.0000
Mg 3.0166 0.0000 0.0000
Cs 3.0166 3.0166 3.0166
```

This record from Alexandria via LeMat-Bulk describes Na3Np2Te6Pd after structural relaxation. The functional is PBE-GGA. Values from VASP.

Values from the calculation:
Formation energy (no corrections) in eV/atom: -0.66
VASP energy in Ry per atom: -0.379
Crystal system: monoclinic

```
&SYSTEM
  ibrav = 0, nat = 12, ntyp = 4
/
ATOMIC_SPECIES
Te 127.60 Te.upf
Np 237.00 Np.upf
Na 22.99 Na.upf
Pd 106.42 Pd.upf
CELL_PARAMETERS angstrom
-5.3803 0.8775 -5.1255
6.4228 -3.3889 -1.8033
-3.3105 -5.8421 4.2592
ATOMIC_POSITIONS angstrom
Te -3.6434 -5.7451 -2.5291
Te 0.1233 -7.1067 -1.4689
Te -2.3433 -5.1621 1.6961
Te 1.3754 -2.6084 -0.1405
Te 0.0752 -3.1915 -4.3657
Te -2.3914 -1.2469 -1.2007
Np -1.4571 -0.5406 -4.0212
Np 2.4996 -1.9708 -2.9076
Na -5.0366 -2.7662 -2.4332
Na 2.7685 -5.5874 -0.2364
Na -1.1340 -4.1768 -1.3348
Pd 0.0000 0.0000 0.0000
```

Computed Fermi-level density of states, in the same sequence as the records: 0.6179 0.1422 0.3740 0.4085 1.5311 0.5675 0.4860 2.0093 states/eV per atom.